# 1
LiCe2Pr after structural relaxation, computed with PBE-GGA.

Cell: 3.4018 3.4018 10.0356 Å, 90.00 90.00 90.00°
Last column: magnetic moment on the atom in μB.
Fractional positions:
1 Pr 0.5000 0.5000 0.5000  0.00
2 Ce 0.0000 0.0000 0.7665  0.82
3 Ce 0.0000 0.0000 0.2335  0.82
4 Li 0.5000 0.5000 0.0000  0.02

Energy relative to the elements ... 0.23 eV/atom
Space group ... P4/mmm
Excess energy over the best structure of this formula in the dataset ... 0 meV per atom

# 2
BaC2I after structural relaxation, computed with PBE-GGA.

Cell: 6.6970 6.6970 6.1487 Å, 57.00 57.00 90.00°
Fractional positions:
1 I 0.5000 0.5000 0.0000
2 I 0.2500 0.7500 0.5000
3 C 0.5453 0.1250 0.2500
4 C 0.2047 0.6250 0.2500
5 C 0.3750 0.4547 0.7500
6 C 0.8750 0.7953 0.7500
7 Ba 0.0000 0.0000 0.0000
8 Ba 0.7500 0.2500 0.5000

Space group ... I-42d
Uncorrected formation energy ... 1771 meV/atom
Excess energy over the best structure of this formula in the dataset ... 0 meV per atom

# 3
PmPr2Nd5Er after structural relaxation, computed with PBE-GGA.

Cell: 8.7992 8.7992 10.3028 Å, 115.28 115.28 90.00°
Fractional positions:
1 Pm 0.2500 0.2500 0.5000
2 Pm 0.7500 0.7500 0.5000
3 Pr 0.1197 0.3803 0.0000
4 Pr 0.6197 0.1197 0.0000
5 Pr 0.3803 0.8803 0.0000
6 Pr 0.8803 0.6197 0.0000
7 Nd 0.9275 0.4275 0.2837
8 Nd 0.6438 0.1438 0.7163
9 Nd 0.0725 0.5725 0.7163
10 Nd 0.1438 0.0725 0.7163
11 Nd 0.5725 0.6438 0.7163
12 Nd 0.8562 0.9275 0.2837
13 Nd 0.4275 0.3562 0.2837
14 Nd 0.3562 0.8562 0.2837
15 Nd 0.5000 0.5000 0.0000
16 Nd 0.0000 0.0000 0.0000
17 Er 0.2500 0.7500 0.5000
18 Er 0.7500 0.2500 0.5000

Energy relative to the elements ... 0.27 eV/atom
Space group ... I4/mcm

# 4
Zr2CoAs after structural relaxation, computed with PBE-GGA.

Cell: 7.0806 7.0806 5.8311 Å, 52.62 52.62 90.00°
Fractional positions:
1 As 0.0000 0.0000 0.0000
2 As 0.7500 0.2500 0.5000
3 Co 0.5000 0.5000 0.0000
4 Co 0.2500 0.7500 0.5000
5 Zr 0.6013 0.1250 0.2500
6 Zr 0.1487 0.6250 0.2500
7 Zr 0.3750 0.3987 0.7500
8 Zr 0.8750 0.8513 0.7500

Energy relative to the elements ... -0.27 eV/atom
Space group ... I-42d

# 5
Pm3InO after structural relaxation, computed with PBE-GGA.

Cell: 4.9399 4.9399 4.9399 Å, 90.00 90.00 90.00°
Fractional positions:
1 In 0.5000 0.5000 0.5000
2 O 0.0000 0.0000 0.0000
3 Pm 0.0000 0.5000 0.0000
4 Pm 0.0000 0.0000 0.5000
5 Pm 0.5000 0.0000 0.0000

Space group ... Pm-3m
Uncorrected formation energy ... -1423 meV/atom

# 6
TiCr2Ga2 after structural relaxation, computed with PBE-GGA.

Cell: 6.6592 6.6592 3.1752 Å, 90.00 90.00 90.00°
Fractional positions:
1 Cr 0.1716 0.6716 0.5000
2 Cr 0.6716 0.8284 0.5000
3 Cr 0.8284 0.3284 0.5000
4 Cr 0.3284 0.1716 0.5000
5 Ga 0.3702 0.8702 0.0000
6 Ga 0.8702 0.6298 0.0000
7 Ga 0.6298 0.1298 0.0000
8 Ga 0.1298 0.3702 0.0000
9 Ti 0.0000 0.0000 0.0000
10 Ti 0.5000 0.5000 0.0000

Energy relative to the elements ... 0.00 eV/atom
Space group ... P4/mbm
Excess energy over the best structure of this formula in the dataset ... 0 meV per atom

# 7
Er4SN3 after structural relaxation, computed with PBE-GGA.

Cell: 3.5029 3.5029 11.9780 Å, 81.59 81.59 60.00°
Fractional positions:
1 S 0.0000 0.0000 0.0000
2 N 0.7531 0.7531 0.7407
3 N 0.5000 0.5000 0.5000
4 N 0.2469 0.2469 0.2593
5 Er 0.6140 0.6140 0.1579
6 Er 0.8711 0.8711 0.3866
7 Er 0.3860 0.3860 0.8421
8 Er 0.1289 0.1289 0.6134

Space group ... R-3m
Uncorrected formation energy ... -1842 meV/atom

# 8
CaGdPu after structural relaxation, computed with PBE-GGA.

Cell: 3.5049 3.5049 8.2811 Å, 102.22 102.22 90.00°
Last column: magnetic moment on the atom in μB.
Fractional positions:
1 Ca 0.9971 0.9971 0.9941  0.04
2 Gd 0.6762 0.6762 0.3525  -7.16
3 Pu 0.3267 0.3267 0.6534  5.59

Energy relative to the elements ... 0.20 eV/atom
Space group ... I4mm

# 9
LiPuPa2Se5 after structural relaxation, computed with PBE-GGA.

Cell: 7.7433 7.7433 8.8802 Å, 115.85 115.85 90.00°
Last column: magnetic moment on the atom in μB.
Fractional positions:
1 Li 0.2500 0.7500 0.5000  0.00
2 Li 0.7500 0.2500 0.5000  0.00
3 Pu 0.2500 0.2500 0.5000  5.59
4 Pu 0.7500 0.7500 0.5000  5.59
5 Pa 0.1486 0.3514 0.0000  1.43
6 Pa 0.6486 0.1486 0.0000  1.43
7 Pa 0.3514 0.8514 0.0000  1.43
8 Pa 0.8514 0.6486 0.0000  1.43
9 Se 0.9759 0.4759 0.2810  -0.05
10 Se 0.6949 0.1949 0.7190  -0.05
11 Se 0.0241 0.5241 0.7190  -0.05
12 Se 0.1949 0.0241 0.7190  -0.05
13 Se 0.5241 0.6949 0.7190  -0.05
14 Se 0.8051 0.9759 0.2810  -0.05
15 Se 0.4759 0.3051 0.2810  -0.05
16 Se 0.3051 0.8051 0.2810  -0.05
17 Se 0.5000 0.5000 0.0000  -0.06
18 Se 0.0000 0.0000 0.0000  -0.06

Space group ... I4/mcm
Uncorrected formation energy ... -1305 meV/atom

# 10
Cs4Hg2As after structural relaxation, computed with PBE-GGA.

Cell: 7.0495 7.0495 11.4826 Å, 72.12 72.12 90.00°
Fractional positions:
1 Cs 0.6863 0.6863 0.6273
2 Cs 0.3137 0.3137 0.3727
3 Cs 0.0000 0.5000 0.0000
4 Cs 0.5000 0.0000 0.0000
5 As 0.0000 0.0000 0.0000
6 Hg 0.8681 0.8681 0.2637
7 Hg 0.1319 0.1319 0.7363

Energy relative to the elements ... -0.15 eV/atom
Space group ... I4/mmm

# 11
Ca2BPb after structural relaxation, computed with PBE-GGA.

Cell: 5.1839 5.1839 5.1839 Å, 60.00 60.00 60.00°
Fractional positions:
1 Pb 0.5000 0.5000 0.5000
2 Ca 0.2500 0.2500 0.2500
3 Ca 0.7500 0.7500 0.7500
4 B 0.0000 0.0000 0.0000

Energy relative to the elements ... 0.30 eV/atom
Space group ... Fm-3m
Excess energy over the best structure of this formula in the dataset ... 0 meV per atom

# 12
ReTeMo2 after structural relaxation, computed with PBE-GGA.

Cell: 2.8629 2.8629 9.4163 Å, 90.00 90.00 111.66°
Fractional positions:
1 Mo 0.0000 0.0000 0.0253
2 Mo 0.5000 0.5000 0.2508
3 Re 0.0000 0.0000 0.4682
4 Te 0.5000 0.5000 0.7557

Space group ... Cmm2
Uncorrected formation energy ... 647 meV/atom

# 13
Cs4Ac3HoS8 after structural relaxation, computed with PBE-GGA.

Cell: 8.7829 9.5692 8.7829 Å, 117.34 120.00 90.00°
Fractional positions:
1 Cs 0.5000 0.0000 0.0000
2 Cs 0.5000 0.0000 0.5000
3 Cs 0.0000 0.0000 0.0000
4 Cs 0.0000 0.0000 0.5000
5 Ac 0.5000 0.5000 0.0000
6 Ac 0.5000 0.5000 0.5000
7 Ac 0.0000 0.5000 0.5000
8 Ho 0.0000 0.5000 0.0000
9 S 0.2197 0.6865 0.9670
10 S 0.2198 0.6865 0.4395
11 S 0.2684 0.3052 0.5367
12 S 0.7472 0.6865 0.9670
13 S 0.2528 0.3135 0.0330
14 S 0.7316 0.6948 0.4633
15 S 0.7802 0.3135 0.5605
16 S 0.7803 0.3135 0.0330

Space group ... R-3m
Uncorrected formation energy ... -1845 meV/atom

# 14
Ca3Tl2GaRh3 after structural relaxation, computed with PBE-GGA.

Cell: 3.8493 7.6057 7.6057 Å, 120.00 90.00 90.00°
Fractional positions:
1 Ca 0.0000 0.0000 0.3743
2 Ca 0.0000 0.6257 0.6257
3 Ca 0.0000 0.3743 0.0000
4 Tl 0.5000 0.3333 0.6667
5 Tl 0.5000 0.6667 0.3333
6 Ga 0.0000 0.0000 0.0000
7 Rh 0.5000 0.7719 0.0000
8 Rh 0.5000 0.2281 0.2281
9 Rh 0.5000 0.0000 0.7719

Energy relative to the elements ... -0.38 eV/atom
Space group ... P-62m

# 15
CsSn3Pb after structural relaxation, computed with PBE-GGA.

Cell: 6.1417 6.1417 6.1417 Å, 90.00 90.00 90.00°
Fractional positions:
1 Pb 0.5000 0.5000 0.5000
2 Cs 0.0000 0.0000 0.0000
3 Sn 0.0000 0.5000 0.0000
4 Sn 0.0000 0.0000 0.5000
5 Sn 0.5000 0.0000 0.0000

Energy relative to the elements ... 1.29 eV/atom
Space group ... Pm-3m
Excess energy over the best structure of this formula in the dataset ... 1383 meV per atom

# 16
GeOsIO2 after structural relaxation, computed with PBE-GGA.

Cell: 3.8238 3.8238 8.3984 Å, 90.00 90.00 90.00°
Fractional positions:
1 I 0.0000 0.0000 0.5000
2 Ge 0.5000 0.5000 0.5000
3 Os 0.0000 0.0000 0.0000
4 O 0.0000 0.5000 0.0000
5 O 0.5000 0.0000 0.0000

Space group ... P4/mmm
Uncorrected formation energy ... -65 meV/atom
Excess energy over the best structure of this formula in the dataset ... 0 meV per atom

How do the records compare in density? In the order shown, they have 6.121 5.442 6.870 7.010 7.794 6.871 9.836 7.550 8.777 3.255 5.026 11.707 5.006 7.814 4.990 5.704 g/cm3.